This record from Alexandria via LeMat-Bulk describes a geometry-optimized La5ReN8 structure. The functional is PBE.

Unit cell a=7.202 b=7.202 c=7.202 alpha=107.75 beta=112.96 gamma=107.75
Site moments in Bohr magnetons follow the coordinates.
Atoms (fractional coordinates):
La1 0.060 0.441 0.125  0.03
La2 0.875 0.935 0.316  0.03
La3 0.684 0.559 0.619  0.03
La4 0.500 0.000 0.500  0.07
La5 0.381 0.065 0.940  0.03
Re1 0.250 0.500 0.750  -0.02
N1 0.104 0.658 0.812  0.03
N2 0.188 0.292 0.847  0.03
N3 0.568 0.208 0.324  0.28
N4 0.676 0.244 0.885  0.28
N5 0.640 0.756 0.432  0.28
N6 0.555 0.708 0.896  0.03
N7 0.153 0.342 0.445  0.03
N8 0.115 0.792 0.360  0.28

Summary:
Space group   I-4 (82)
DFT total energy   -8.190 eV per atom
Calculated volume   20.48 Å³ per atom
Magnetization   1.94 μB/f.u.
Fermi-level density of states   7.50 states/eV per cell
Formation energy (no corrections)   -0.784 eV per atom


This record from Alexandria via LeMat-Bulk describes a geometry-optimized Ag2TeAsS structure. The functional is PBE.

Unit cell a=4.740 b=5.364 c=4.740 alpha=90.00 beta=90.00 gamma=90.00
Atoms (fractional coordinates):
As1 0.000 0.500 0.000
Te1 0.500 0.500 0.500
S1 0.000 0.000 0.000
Ag1 0.000 0.000 0.500
Ag2 0.500 0.000 0.000

Summary:
Space group   P4/mmm (123)
DFT total energy   -3.225 eV per atom
Calculated volume   24.10 Å³ per atom
Magnetization   0.00 μB/f.u.
Fermi-level density of states   2.51 states/eV per cell
Formation energy (no corrections)   0.299 eV per atom


This record from Alexandria via LeMat-Bulk describes a geometry-optimized Sm2Dy3Sc structure. The functional is PBE.

Unit cell a=3.448 b=8.940 c=12.856 alpha=78.10 beta=82.29 gamma=78.88
Atoms (fractional coordinates):
Sm1 0.821 0.480 0.878
Sm2 0.179 0.520 0.122
Sm3 0.654 0.161 0.530
Sm4 0.346 0.839 0.470
Dy1 0.037 0.142 0.784
Dy2 0.963 0.858 0.216
Dy3 0.599 0.829 0.973
Dy4 0.401 0.171 0.027
Dy5 0.740 0.813 0.707
Dy6 0.260 0.187 0.293
Sc1 0.436 0.486 0.641
Sc2 0.564 0.514 0.359

Summary:
Space group   C2/m (12)
DFT total energy   -4.782 eV per atom
E_form   0.147 eV per atom
Distance to the lowest polymorph of the same formula   0.1123 eV per atom
Calculated volume   31.55 Å³ per atom
Magnetization   0.00 μB/f.u.
Fermi-level density of states   20.53 states/eV per cell


This record from Alexandria via LeMat-Bulk describes a geometry-optimized Dy7Sb2Pb2 structure. The functional is PBE.

Unit cell a=7.109 b=7.153 c=7.109 alpha=90.00 beta=101.97 gamma=90.00
Atoms (fractional coordinates):
Dy1 0.000 0.273 0.500
Dy2 0.500 0.727 0.000
Dy3 0.000 0.727 0.500
Dy4 0.500 0.273 0.000
Dy5 0.000 0.000 0.000
Dy6 0.500 0.740 0.500
Dy7 0.500 0.260 0.500
Sb1 0.723 0.000 0.277
Sb2 0.277 0.000 0.723
Pb1 0.815 0.500 0.815
Pb2 0.185 0.500 0.185

Summary:
Space group   Cmmm (65)
DFT total energy   -4.679 eV per atom
Calculated volume   32.15 Å³ per atom
Magnetization   0.00 μB/f.u.
Fermi-level density of states   14.67 states/eV per cell
Formation energy (no corrections)   -0.326 eV per atom


This record from Alexandria via LeMat-Bulk describes a geometry-optimized Na3Ga4Au2 structure. The functional is PBE.

Unit cell a=4.573 b=5.676 c=8.311 alpha=74.30 beta=74.03 gamma=66.25
Atoms (fractional coordinates):
Na1 0.305 0.758 0.633
Na2 0.000 0.000 0.000
Na3 0.695 0.242 0.367
Ga1 0.284 0.374 0.058
Ga2 0.716 0.626 0.942
Ga3 0.998 0.352 0.653
Ga4 0.002 0.648 0.347
Au1 0.439 0.882 0.240
Au2 0.561 0.118 0.760

Summary:
Space group   C2/m (12)
DFT total energy   -2.773 eV per atom
E_form   -0.260 eV per atom
Distance to the lowest polymorph of the same formula   0.0000 eV per atom
Calculated volume   20.74 Å³ per atom
Magnetization   0.00 μB/f.u.
Fermi-level density of states   2.50 states/eV per cell


This record from Alexandria via LeMat-Bulk describes a geometry-optimized MgSnB structure. The functional is PBE.

Unit cell a=5.167 b=11.318 c=3.678 alpha=90.00 beta=90.00 gamma=90.00
Atoms (fractional coordinates):
Mg1 0.000 0.367 0.500
Mg2 0.000 0.633 0.500
Mg3 0.500 0.867 0.500
Mg4 0.500 0.133 0.500
B1 0.343 0.000 0.000
B2 0.657 0.000 0.000
B3 0.843 0.500 0.000
B4 0.157 0.500 0.000
Sn1 0.000 0.140 0.000
Sn2 0.000 0.860 0.000
Sn3 0.500 0.640 0.000
Sn4 0.500 0.360 0.000

Summary:
Space group   Cmmm (65)
DFT total energy   -3.925 eV per atom
E_form   0.167 eV per atom
Distance to the lowest polymorph of the same formula   0.1008 eV per atom
Calculated volume   17.92 Å³ per atom
Magnetization   0.00 μB/f.u.
Fermi-level density of states   2.92 states/eV per cell


This record from Alexandria via LeMat-Bulk describes a geometry-optimized CsSn2GeAu structure. The functional is PBE.

Unit cell a=5.688 b=5.096 c=5.688 alpha=90.00 beta=90.00 gamma=90.00
Atoms (fractional coordinates):
Cs1 0.500 0.500 0.500
Ge1 0.000 0.000 0.000
Au1 0.000 0.500 0.000
Sn1 0.000 0.000 0.500
Sn2 0.500 0.000 0.000

Summary:
Space group   P4/mmm (123)
DFT total energy   -3.144 eV per atom
E_form   0.207 eV per atom
Calculated volume   32.97 Å³ per atom
Magnetization   0.00 μB/f.u.
Fermi-level density of states   4.39 states/eV per cell


This record from Alexandria via LeMat-Bulk describes a geometry-optimized In5Sn6 structure. The functional is PBE.

Unit cell a=6.653 b=6.955 c=8.802 alpha=76.76 beta=61.40 gamma=61.43
Atoms (fractional coordinates):
In1 0.000 0.000 0.500
In2 0.637 0.727 0.000
In3 0.363 0.273 0.000
In4 0.268 0.464 0.500
In5 0.732 0.536 0.500
Sn1 0.468 0.000 0.706
Sn2 0.532 0.000 0.294
Sn3 0.895 0.269 0.808
Sn4 0.836 0.269 0.192
Sn5 0.105 0.731 0.192
Sn6 0.164 0.731 0.808

Summary:
Space group   C2/m (12)
DFT total energy   -3.371 eV per atom
E_form   0.058 eV per atom
Calculated volume   28.55 Å³ per atom
Magnetization   0.00 μB/f.u.
Fermi-level density of states   3.84 states/eV per cell


This record from Alexandria via LeMat-Bulk describes a geometry-optimized MgCr2B2 structure. The functional is PBE.

Unit cell a=5.753 b=5.753 c=2.976 alpha=90.00 beta=90.00 gamma=90.00
Site moments in Bohr magnetons follow the coordinates.
Atoms (fractional coordinates):
Cr1 0.167 0.667 0.500  0.78
Cr2 0.667 0.833 0.500  0.78
Cr3 0.833 0.333 0.500  0.78
Cr4 0.333 0.167 0.500  0.78
Mg1 0.000 0.000 0.000  -0.01
Mg2 0.500 0.500 0.000  -0.01
B1 0.392 0.892 0.000  -0.06
B2 0.892 0.608 0.000  -0.06
B3 0.608 0.108 0.000  -0.06
B4 0.108 0.392 0.000  -0.06

Summary:
Space group   P4/mbm (127)
DFT total energy   -6.920 eV per atom
E_form   -0.081 eV per atom
Calculated volume   9.85 Å³ per atom
Magnetization   1.55 μB/f.u.
Fermi-level density of states   7.71 states/eV per cell


This record from Alexandria via LeMat-Bulk describes a geometry-optimized CaLaPSe structure. The functional is PBE.

Unit cell a=4.276 b=4.276 c=7.351 alpha=73.09 beta=73.09 gamma=60.00
Atoms (fractional coordinates):
Ca1 0.504 0.504 0.487
La1 0.993 0.993 0.021
P1 0.251 0.251 0.246
Se1 0.752 0.752 0.745

Summary:
Space group   R3m (160)
DFT total energy   -5.709 eV per atom
Calculated volume   27.41 Å³ per atom
Magnetization   0.00 μB/f.u.
Formation energy (no corrections)   -1.753 eV per atom


This record from Alexandria via LeMat-Bulk describes a geometry-optimized LaOsN2 structure. The functional is PBE.

Unit cell a=4.182 b=4.182 c=4.182 alpha=60.00 beta=60.00 gamma=60.00
Atoms (fractional coordinates):
N1 0.250 0.250 0.250
N2 0.750 0.750 0.750
Os1 0.500 0.500 0.500
La1 0.000 0.000 0.000

Summary:
Space group   Fm-3m (225)
DFT total energy   -7.769 eV per atom
Distance to the lowest polymorph of the same formula   0.7356 eV per atom
Calculated volume   12.93 Å³ per atom
Magnetization   0.00 μB/f.u.
Fermi-level density of states   1.96 states/eV per cell
Formation energy (no corrections)   0.433 eV per atom


This record from Alexandria via LeMat-Bulk describes a geometry-optimized TbPm6Dy2Y3 structure. The functional is PBE.

Unit cell a=6.256 b=6.256 c=11.877 alpha=95.02 beta=95.02 gamma=119.99
Atoms (fractional coordinates):
Tb1 0.000 0.000 0.000
Pm1 0.917 0.583 0.751
Pm2 0.750 0.750 0.249
Pm3 0.083 0.417 0.249
Pm4 0.583 0.917 0.751
Pm5 0.250 0.250 0.751
Pm6 0.417 0.083 0.249
Dy1 0.333 0.667 0.000
Dy2 0.667 0.333 0.000
Y1 0.167 0.833 0.500
Y2 0.833 0.167 0.500
Y3 0.500 0.500 0.500

Summary:
Space group   C2/m (12)
DFT total energy   -5.133 eV per atom
E_form   0.011 eV per atom
Calculated volume   33.03 Å³ per atom
Magnetization   0.00 μB/f.u.
Fermi-level density of states   14.50 states/eV per cell


This record from Alexandria via LeMat-Bulk describes a geometry-optimized KSr15Ca4 structure. The functional is PBE.

Unit cell a=5.926 b=5.926 c=29.938 alpha=90.00 beta=90.00 gamma=90.00
Atoms (fractional coordinates):
K1 0.000 0.000 0.000
Sr1 0.500 0.500 0.000
Sr2 0.500 0.500 0.206
Sr3 0.500 0.500 0.402
Sr4 0.500 0.500 0.598
Sr5 0.500 0.500 0.794
Sr6 0.500 0.000 0.108
Sr7 0.500 0.000 0.304
Sr8 0.500 0.000 0.500
Sr9 0.500 0.000 0.696
Sr10 0.500 0.000 0.892
Sr11 0.000 0.500 0.108
Sr12 0.000 0.500 0.304
Sr13 0.000 0.500 0.500
Sr14 0.000 0.500 0.696
Sr15 0.000 0.500 0.892
Ca1 0.000 0.000 0.206
Ca2 0.000 0.000 0.402
Ca3 0.000 0.000 0.598
Ca4 0.000 0.000 0.794

Summary:
Space group   P4/mmm (123)
DFT total energy   -1.690 eV per atom
E_form   0.027 eV per atom
Calculated volume   52.57 Å³ per atom
Magnetization   0.00 μB/f.u.
Fermi-level density of states   22.61 states/eV per cell


This record from Alexandria via LeMat-Bulk describes a geometry-optimized BaSr2Si structure. The functional is PBE.

Unit cell a=4.058 b=4.029 c=11.188 alpha=68.91 beta=90.00 gamma=90.00
Atoms (fractional coordinates):
Ba1 0.000 0.417 0.582
Si1 0.500 0.736 0.764
Sr1 0.000 0.081 0.919
Sr2 0.500 0.265 0.235

Summary:
Space group   Pmm2 (25)
DFT total energy   -2.770 eV per atom
Calculated volume   42.66 Å³ per atom
Magnetization   0.01 μB/f.u.
Fermi-level density of states   4.08 states/eV per cell
Formation energy (no corrections)   -0.093 eV per atom


This record from Alexandria via LeMat-Bulk describes a geometry-optimized AlV3Ni12 structure. The functional is PBE.

Unit cell a=3.561 b=3.561 c=14.243 alpha=90.00 beta=90.00 gamma=90.00
Site moments in Bohr magnetons follow the coordinates.
Atoms (fractional coordinates):
Al1 0.000 0.000 0.000  0.00
V1 0.000 0.000 0.247  0.49
V2 0.000 0.000 0.500  0.83
V3 0.000 0.000 0.753  0.49
Ni1 0.500 0.500 0.000  0.03
Ni2 0.500 0.500 0.251  -0.01
Ni3 0.500 0.500 0.500  0.02
Ni4 0.500 0.500 0.749  -0.01
Ni5 0.500 0.000 0.127  0.01
Ni6 0.500 0.000 0.375  0.03
Ni7 0.500 0.000 0.625  0.03
Ni8 0.500 0.000 0.873  0.01
Ni9 0.000 0.500 0.127  0.01
Ni10 0.000 0.500 0.375  0.03
Ni11 0.000 0.500 0.625  0.03
Ni12 0.000 0.500 0.873  0.01

Summary:
Space group   P4/mmm (123)
DFT total energy   -6.546 eV per atom
E_form   -0.266 eV per atom
Calculated volume   11.29 Å³ per atom
Magnetization   2.13 μB/f.u.
Fermi-level density of states   13.82 states/eV per cell


This record from Alexandria via LeMat-Bulk describes a geometry-optimized Li3CuSi structure. The functional is PBE.

Unit cell a=4.359 b=5.727 c=5.727 alpha=96.62 beta=120.38 gamma=120.43
Atoms (fractional coordinates):
Li1 0.000 0.500 0.000
Li2 0.000 0.500 0.500
Li3 0.000 0.000 0.500
Cu1 0.500 0.000 0.000
Si1 0.000 0.000 0.000

Summary:
Space group   C2/m (12)
DFT total energy   -3.078 eV per atom
Distance to the lowest polymorph of the same formula   0.0515 eV per atom
Calculated volume   18.43 Å³ per atom
Magnetization   0.00 μB/f.u.
Fermi-level density of states   0.15 states/eV per cell
Formation energy (no corrections)   -0.026 eV per atom


This record from Alexandria via LeMat-Bulk describes a geometry-optimized SbMo2Br structure. The functional is PBE.

Unit cell a=4.596 b=4.596 c=5.620 alpha=78.32 beta=78.32 gamma=39.57
Atoms (fractional coordinates):
Sb1 0.750 0.750 0.750
Mo1 0.005 0.005 0.030
Mo2 0.495 0.495 0.470
Br1 0.250 0.250 0.250

Summary:
Space group   C2/m (12)
DFT total energy   -6.215 eV per atom
Distance to the lowest polymorph of the same formula   0.4516 eV per atom
Calculated volume   18.47 Å³ per atom
Magnetization   0.00 μB/f.u.
Fermi-level density of states   4.07 states/eV per cell
Formation energy (no corrections)   0.649 eV per atom


This record from Alexandria via LeMat-Bulk describes a geometry-optimized Na2AgPd structure. The functional is PBE.

Unit cell a=4.547 b=4.156 c=4.156 alpha=90.00 beta=90.00 gamma=90.00
Atoms (fractional coordinates):
Na1 0.000 0.000 0.500
Na2 0.000 0.500 0.000
Pd1 0.500 0.500 0.500
Ag1 0.500 0.000 0.000

Summary:
Space group   P4/mmm (123)
DFT total energy   -2.710 eV per atom
E_form   -0.040 eV per atom
Calculated volume   19.63 Å³ per atom
Magnetization   0.00 μB/f.u.
Fermi-level density of states   0.76 states/eV per cell


This record from Alexandria via LeMat-Bulk describes a geometry-optimized DyScGa structure. The functional is PBE.

Unit cell a=4.318 b=4.318 c=7.737 alpha=90.00 beta=90.00 gamma=90.00
Site moments in Bohr magnetons follow the coordinates.
Atoms (fractional coordinates):
Dy1 0.000 0.500 0.856  0.31
Dy2 0.500 0.000 0.144  0.31
Sc1 0.500 0.500 0.500  0.38
Sc2 0.000 0.000 0.500  0.38
Ga1 0.000 0.500 0.247  0.01
Ga2 0.500 0.000 0.753  0.01

Summary:
Space group   P4/nmm (129)
DFT total energy   -5.094 eV per atom
E_form   -0.441 eV per atom
Distance to the lowest polymorph of the same formula   0.0110 eV per atom
Calculated volume   24.04 Å³ per atom
Magnetization   1.09 μB/f.u.
Fermi-level density of states   5.12 states/eV per cell


This record from Alexandria via LeMat-Bulk describes a geometry-optimized CaSm3Sb4 structure. The functional is PBE.

Unit cell a=6.340 b=6.340 c=6.340 alpha=90.00 beta=90.00 gamma=90.00
Atoms (fractional coordinates):
Sb1 0.500 0.000 0.000
Sb2 0.000 0.500 0.000
Sb3 0.000 0.000 0.500
Sb4 0.500 0.500 0.500
Ca1 0.000 0.000 0.000
Sm1 0.000 0.500 0.500
Sm2 0.500 0.000 0.500
Sm3 0.500 0.500 0.000

Summary:
Space group   Pm-3m (221)
DFT total energy   -5.136 eV per atom
Distance to the lowest polymorph of the same formula   0.0080 eV per atom
Calculated volume   31.85 Å³ per atom
Magnetization   0.00 μB/f.u.
Fermi-level density of states   4.62 states/eV per cell
Formation energy (no corrections)   -1.055 eV per atom